# PBE-GGA SmThHg4, relaxed
# ρ in g/cm3: 13.0
# DFT formation energy in meV per atom: -332
# DOS(E_F) in states/eV/f.u.: 4.3
# Polymorph energy (0 for the lowest one) in meV/atom: 9.4
data_SmThHg4
_cell_length_a 8.495
_cell_length_b 8.745
_cell_length_c 5.062
_cell_angle_alpha 90.00
_cell_angle_beta 126.27
_cell_angle_gamma 90.00
_symmetry_space_group_name_H-M 'P 1'
_symmetry_Int_Tables_number 1
_symmetry_space_group_name_Hall 'P 1'
loop_
_atom_site_label
_atom_site_type_symbol
_atom_site_fract_x
_atom_site_fract_y
_atom_site_fract_z
Sm1 Sm 0.000 0.000 0.000
Sm2 Sm 0.500 0.500 0.000
Th1 Th 0.000 0.500 0.500
Th2 Th 0.500 0.000 0.500
Hg1 Hg 0.246 0.333 0.246
Hg2 Hg 0.246 0.667 0.246
Hg3 Hg 0.254 0.167 0.754
Hg4 Hg 0.254 0.833 0.754
Hg5 Hg 0.746 0.167 0.246
Hg6 Hg 0.746 0.833 0.246
Hg7 Hg 0.754 0.333 0.754
Hg8 Hg 0.754 0.667 0.754

=====

# PBE-GGA Y15HoEr4, relaxed
# ρ in g/cm3: 5.6
# DFT formation energy in meV per atom: 25
# DOS(E_F) in states/eV/f.u.: 28.9
data_Y15HoEr4
_cell_length_a 5.038
_cell_length_b 5.038
_cell_length_c 25.204
_cell_angle_alpha 90.00
_cell_angle_beta 90.00
_cell_angle_gamma 90.00
_symmetry_space_group_name_H-M 'P 1'
_symmetry_Int_Tables_number 1
_symmetry_space_group_name_Hall 'P 1'
loop_
_atom_site_label
_atom_site_type_symbol
_atom_site_fract_x
_atom_site_fract_y
_atom_site_fract_z
Y1 Y 0.000 0.000 0.000
Y2 Y 0.000 0.000 0.200
Y3 Y 0.000 0.000 0.400
Y4 Y 0.000 0.000 0.600
Y5 Y 0.000 0.000 0.800
Y6 Y 0.000 0.500 0.100
Y7 Y 0.000 0.500 0.300
Y8 Y 0.000 0.500 0.500
Y9 Y 0.000 0.500 0.700
Y10 Y 0.000 0.500 0.900
Y11 Y 0.500 0.000 0.100
Y12 Y 0.500 0.000 0.300
Y13 Y 0.500 0.000 0.500
Y14 Y 0.500 0.000 0.700
Y15 Y 0.500 0.000 0.900
Ho1 Ho 0.500 0.500 0.000
Er1 Er 0.500 0.500 0.200
Er2 Er 0.500 0.500 0.400
Er3 Er 0.500 0.500 0.600
Er4 Er 0.500 0.500 0.800